[1]
SrCeCd4 | PBE | relaxed

Cell: 6.089 6.089 6.089 Å, 60.00 60.00 60.00°
Sites, in units of the cell vectors:
Sr (0.000, 0.000, 0.000)
Ce (0.750, 0.750, 0.750)
Cd (0.376, 0.376, 0.376)
Cd (0.376, 0.376, 0.873)
Cd (0.376, 0.873, 0.376)
Cd (0.873, 0.376, 0.376)

Its density is 7.046 Mg/m³. The calculation puts the formation energy at -208.6 meV per atom. As for the total magnetic moment: 1.047 μB/cell. Its symmetry is F-43m (216). As for the density of states at the Fermi level: 10.889 states/eV/f.u.

---

[2]
Sr2CeCd9 | PBE | relaxed

Cell: 10.378 10.378 10.378 Å, 34.21 34.21 34.21°
Sites, in units of the cell vectors:
Sr (0.142, 0.142, 0.142)
Sr (0.858, 0.858, 0.858)
Ce (0.000, 0.000, 0.000)
Cd (0.076, 0.586, 0.586)
Cd (0.335, 0.335, 0.335)
Cd (0.414, 0.414, 0.924)
Cd (0.414, 0.924, 0.414)
Cd (0.500, 0.500, 0.500)
Cd (0.586, 0.076, 0.586)
Cd (0.586, 0.586, 0.076)
Cd (0.665, 0.665, 0.665)
Cd (0.924, 0.414, 0.414)

Its density is 6.994 Mg/m³. The calculation puts the formation energy at -211.2 meV per atom. As for the total magnetic moment: 1.114 μB/cell. Its symmetry is R-3m (166). As for the density of states at the Fermi level: 14.578 states/eV/f.u.

---

[3]
SrCe2Cd | PBE | relaxed

Cell: 12.545 12.545 12.545 Å, 15.78 15.78 15.78°
Sites, in units of the cell vectors:
Sr (0.000, 0.000, 0.000)
Ce (0.094, 0.094, 0.094)
Ce (0.906, 0.906, 0.906)
Cd (0.500, 0.500, 0.500)

Its density is 6.266 Mg/m³. The calculation puts the formation energy at 270.4 meV per atom. As for the total magnetic moment: 2.099 μB/cell. Its symmetry is R-3m (166). As for the density of states at the Fermi level: 11.027 states/eV/f.u.

---

[4]
SrCeCd17 | PBE | relaxed

Cell: 7.730 7.730 7.730 Å, 82.24 82.24 82.24°
Sites, in units of the cell vectors:
Sr (0.000, 0.000, 0.000)
Ce (0.667, 0.667, 0.667)
Cd (0.035, 0.337, 0.634)
Cd (0.035, 0.634, 0.337)
Cd (0.195, 0.686, 0.686)
Cd (0.240, 0.240, 0.240)
Cd (0.325, 0.325, 0.848)
Cd (0.325, 0.848, 0.325)
Cd (0.337, 0.035, 0.634)
Cd (0.337, 0.634, 0.035)
Cd (0.440, 0.440, 0.440)
Cd (0.518, 0.968, 0.968)
Cd (0.634, 0.035, 0.337)
Cd (0.634, 0.337, 0.035)
Cd (0.686, 0.195, 0.686)
Cd (0.686, 0.686, 0.195)
Cd (0.848, 0.325, 0.325)
Cd (0.968, 0.518, 0.968)
Cd (0.968, 0.968, 0.518)

Its density is 7.887 Mg/m³. The calculation puts the formation energy at -142.7 meV per atom. As for the total magnetic moment: 1.113 μB/cell. Its symmetry is R3m (160). As for the density of states at the Fermi level: 13.646 states/eV/f.u.

---

[5]
SrCeCd2 | PBE | relaxed

Cell: 10.704 10.704 10.704 Å, 20.23 20.23 20.23°
Sites, in units of the cell vectors:
Sr (0.000, 0.000, 0.000)
Ce (0.500, 0.500, 0.500)
Cd (0.248, 0.248, 0.248)
Cd (0.752, 0.752, 0.752)

Its density is 5.854 Mg/m³. The calculation puts the formation energy at -4.5 meV per atom. As for the total magnetic moment: 1.470 μB/cell. Its symmetry is R-3m (166). As for the density of states at the Fermi level: 7.037 states/eV/f.u.

---

[6]
Sr2CeCd | PBE | relaxed

Cell: 12.780 12.780 12.780 Å, 17.03 17.03 17.03°
Sites, in units of the cell vectors:
Sr (0.096, 0.096, 0.096)
Sr (0.904, 0.904, 0.904)
Ce (0.000, 0.000, 0.000)
Cd (0.500, 0.500, 0.500)

Its density is 4.546 Mg/m³. The calculation puts the formation energy at 257.4 meV per atom. As for the total magnetic moment: 1.911 μB/cell. Its symmetry is R-3m (166). As for the density of states at the Fermi level: 8.901 states/eV/f.u.

---

[7]
SrCeCd2 | PBE | relaxed

Cell: 3.907 3.907 8.020 Å, 90.00 90.00 90.00°
Sites, in units of the cell vectors:
Sr (0.000, 0.000, 0.000)
Ce (0.000, 0.000, 0.500)
Cd (0.500, 0.500, 0.270)
Cd (0.500, 0.500, 0.730)

Its density is 6.140 Mg/m³. The calculation puts the formation energy at -219.3 meV per atom. As for the total magnetic moment: 1.118 μB/cell. Its symmetry is P4/mmm (123). As for the density of states at the Fermi level: 8.626 states/eV/f.u.

---

[8]
TbCeCd2 | PBE | relaxed

Cell: 3.717 3.717 7.896 Å, 90.00 90.00 90.00°
Sites, in units of the cell vectors:
Tb (0.000, 0.000, 0.000)
Ce (0.000, 0.000, 0.500)
Cd (0.500, 0.500, 0.235)
Cd (0.500, 0.500, 0.765)

Its density is 7.974 Mg/m³. The calculation puts the formation energy at -215.9 meV per atom. As for the total magnetic moment: 1.595 μB/cell. Its symmetry is P4/mmm (123). As for the density of states at the Fermi level: 10.048 states/eV/f.u.

---

[9]
TbCeCd2 | PBE | relaxed

Cell: 10.767 10.767 10.767 Å, 18.49 18.49 18.49°
Sites, in units of the cell vectors:
Tb (0.000, 0.000, 0.000)
Ce (0.500, 0.500, 0.500)
Cd (0.252, 0.252, 0.252)
Cd (0.748, 0.748, 0.748)

Its density is 7.928 Mg/m³. The calculation puts the formation energy at -72.5 meV per atom. As for the total magnetic moment: 0.955 μB/cell. Its symmetry is R-3m (166). As for the density of states at the Fermi level: 6.682 states/eV/f.u.

---

[10]
TbCeCd3 | PBE | relaxed

Cell: 15.113 15.113 5.049 Å, 90.00 90.00 167.10°
Sites, in units of the cell vectors:
Tb (0.215, 0.785, 0.750)
Tb (0.785, 0.215, 0.250)
Ce (0.074, 0.926, 0.250)
Ce (0.926, 0.074, 0.750)
Cd (0.324, 0.676, 0.750)
Cd (0.378, 0.622, 0.250)
Cd (0.476, 0.524, 0.250)
Cd (0.524, 0.476, 0.750)
Cd (0.622, 0.378, 0.750)
Cd (0.676, 0.324, 0.250)

Its density is 8.206 Mg/m³. The calculation puts the formation energy at -249.5 meV per atom. As for the total magnetic moment: 2.818 μB/cell. Its symmetry is Cmcm (63). As for the density of states at the Fermi level: 8.818 states/eV/f.u.

---

[11]
TbCe2Cd4 | PBE | relaxed

Cell: 8.269 8.269 8.269 Å, 142.95 142.95 53.40°
Sites, in units of the cell vectors:
Tb (0.000, 0.000, 0.000)
Ce (0.258, 0.258, 0.000)
Ce (0.742, 0.742, 0.000)
Cd (0.110, 0.610, 0.500)
Cd (0.390, 0.890, 0.500)
Cd (0.610, 0.110, 0.500)
Cd (0.890, 0.390, 0.500)

Its density is 7.237 Mg/m³. The calculation puts the formation energy at -54.9 meV per atom. As for the total magnetic moment: 2.563 μB/cell. Its symmetry is I4/mmm (139). As for the density of states at the Fermi level: 15.403 states/eV/f.u.

---

[12]
Tb4CeCd3 | PBE | relaxed

Cell: 3.673 3.673 16.233 Å, 90.00 90.00 90.00°
Sites, in units of the cell vectors:
Tb (0.000, 0.000, 0.118)
Tb (0.000, 0.000, 0.360)
Tb (0.000, 0.000, 0.640)
Tb (0.000, 0.000, 0.882)
Ce (0.500, 0.500, 0.500)
Cd (0.500, 0.500, 0.000)
Cd (0.500, 0.500, 0.239)
Cd (0.500, 0.500, 0.761)

Its density is 8.441 Mg/m³. The calculation puts the formation energy at -209.9 meV per atom. As for the total magnetic moment: 0.161 μB/cell. Its symmetry is P4/mmm (123). As for the density of states at the Fermi level: 10.709 states/eV/f.u.

---

[13]
Tb2CeCd | PBE | relaxed

Cell: 4.900 4.900 4.755 Å, 90.00 90.00 90.00°
Sites, in units of the cell vectors:
Tb (0.000, 0.500, 0.000)
Tb (0.500, 0.000, 0.000)
Ce (0.000, 0.000, 0.500)
Cd (0.500, 0.500, 0.500)

Its density is 8.297 Mg/m³. The calculation puts the formation energy at -41.2 meV per atom. As for the total magnetic moment: 1.487 μB/cell. Its symmetry is P4/mmm (123). As for the density of states at the Fermi level: 7.837 states/eV/f.u.